First-principles (PBE-GGA) data for crystalline PAuS3 at its relaxed geometry, as listed in the Alexandria database.

abc: 4.771 4.771 4.771
angles: 90.00 90.00 90.00
Space group Pm-3m (No. 221)
Symmetry-distinct sites (fractional):
P 0.000 0.000 0.000 [1 per cell]
Au 0.500 0.500 0.500 [1 per cell]
S 0.000 0.500 0.500 [3 per cell]

Formation energy from raw total energies: 1.176 eV per atom
DFT total energy: -3.04 eV per atom